Record 1
DFT (PBE) results for a geometry-optimized TmSb structure.

Lattice parameters (Å, degrees): 6.1260 6.1260 6.1260 90.00 90.00 90.00
Closest atoms and distances in Å follow each position.
Space group Fm-3m (No. 225)
Symmetry-distinct sites (fractional):
Tm 0.0000 0.0000 0.0000 [4 per cell]  6 Sb 3.06
Sb 0.0000 0.0000 0.5000 [4 per cell]  6 Tm 3.06

## Properties
Its total DFT energy (no corrections) is -0.197 hartree per atom. Its crystal system is cubic.



Record 2
DFT (PBE) results for a geometry-optimized Tm2Sb structure.

Lattice parameters (Å, degrees): 8.7321 8.7321 8.7321 90.00 90.00 90.00
Closest atoms and distances in Å follow each position.
Space group Fd-3m (No. 227, origin choice 2)
Symmetry-distinct sites (fractional):
Tm 0.0000 0.0000 0.0000 [16 per cell]  6 Tm 3.09
Sb 0.1250 0.1250 0.6250 [8 per cell]  12 Tm 3.62, 4 Sb 3.78

## Properties
Its total DFT energy (no corrections) is -0.162 hartree per atom. Its crystal system is cubic.



Record 3
DFT (PBE) results for a geometry-optimized TmSb structure.

Lattice parameters (Å, degrees): 6.3596 5.8938 5.8759 90.00 90.00 90.00
Closest atoms and distances in Å follow each position.
Space group Pmma (No. 51)
Symmetry-distinct sites (fractional):
Tm 0.0000 0.0000 0.0000 [2 per cell]  2 Tm 3.18, 8 Sb 3.21-3.53
Tm 0.2500 0.5000 0.3023 [2 per cell]  6 Sb 2.90-3.25
Sb 0.2500 0.0000 0.4744 [2 per cell]  6 Tm 3.12-3.47, 2 Sb 3.19
Sb 0.2500 0.5000 0.8090 [2 per cell]  4 Tm 2.90-3.25

## Properties
Its total DFT energy (no corrections) is -0.183 hartree per atom. Its crystal system is orthorhombic.



Record 4
DFT (PBE) results for a geometry-optimized TmSb structure.

Lattice parameters (Å, degrees): 4.1967 4.1967 3.8775 90.00 90.00 120.00
Closest atoms and distances in Å follow each position.
Space group P-6m2 (No. 187)
Symmetry-distinct sites (fractional):
Tm 0.0000 0.0000 0.0000 [1 per cell]  6 Sb 3.10
Sb 0.3333 0.6667 0.5000 [1 per cell]  6 Tm 3.10

## Properties
Its total DFT energy (no corrections) is -0.188 hartree per atom. Its crystal system is hexagonal.



Record 5
DFT (PBE) results for a geometry-optimized TmSb structure.

Lattice parameters (Å, degrees): 6.1266 6.1266 6.1266 90.00 90.00 90.00
Closest atoms and distances in Å follow each position.
Space group Fm-3m (No. 225)
Symmetry-distinct sites (fractional):
Tm 0.0000 0.0000 0.0000 [4 per cell]  6 Sb 3.06
Sb 0.0000 0.0000 0.5000 [4 per cell]  6 Tm 3.06

## Properties
Its total DFT energy (no corrections) is -0.197 hartree per atom. Its crystal system is cubic.



Record 6
DFT (PBE) results for a geometry-optimized TmSb structure.

Lattice parameters (Å, degrees): 3.7567 3.7567 3.7567 90.00 90.00 90.00
Closest atoms and distances in Å follow each position.
Space group Pm-3m (No. 221)
Symmetry-distinct sites (fractional):
Tm 0.0000 0.0000 0.0000 [1 per cell]  8 Sb 3.25
Sb 0.5000 0.5000 0.5000 [1 per cell]  8 Tm 3.25

## Properties
Its total DFT energy (no corrections) is -0.185 hartree per atom. Its crystal system is cubic.



Theoretical density, respectively: 8.40 9.17 8.77 8.16 8.40 9.10 Mg/m³.
Magnetization, respectively: 0.0 0.0 0.0 0.0 0.0 0.0 Bohr magnetons per cell.